1.
# Tl2Te2Se3

Crystalline Tl2Te2Se3 at its relaxed geometry (GGA-PBE, Alexandria).

Summary:
Formation energy (no corrections): -0.1525 eV per atom
SG: C2/m, No. 12

a b c (Å): 4.931 6.580 7.627
angles (deg): 86.28 108.86 90.00
Fractional positions:
Te (0.862, 0.828, 0.724)
Te (0.138, 0.172, 0.276)
Tl (0.392, 0.297, 0.783)
Tl (0.608, 0.703, 0.217)
Se (0.703, 0.247, 0.406)
Se (0.297, 0.753, 0.594)
Se (0.000, 0.500, 0.000)

=====

2.
# KIrAu

Crystalline KIrAu at its relaxed geometry (GGA-PBE, Alexandria).

Summary:
Formation energy from the elements: 567 meV per atom
SG: I4mm, No. 107

a b c (Å): 7.858 7.858 2.813
angles (deg): 79.69 79.69 20.62
Fractional positions:
Ir (0.345, 0.345, 0.655)
K (0.671, 0.671, 0.329)
Au (0.984, 0.984, 0.016)